Entry 1:
Below is a relaxed PuTlTeAu crystal, with properties calculated at the PBE level.

The structure in POSCAR format:
```
PuTlTeAu
1.0
-0.394 -0.611 5.283
3.880 -2.475 2.695
3.183 2.783 3.250
Tl Te Au Pu
1 1 1 1
Direct
0.500 0.500 0.500
0.750 0.750 0.750
0.250 0.250 0.250
0.000 0.000 0.000
```

Calculated values
V = 107.3 Å³/cell
E_form (uncorrected) = -38.7 kJ per mole of atoms
total magnetization = 5.91 μB/cell
D(E_F) = 3.010 states/eV per atom

***

Entry 2:
Below is a relaxed BaNb crystal, with properties calculated at the PBE level.

The structure in POSCAR format:
```
BaNb
1.0
-5.099 -2.631 -2.699
4.013 -3.887 -3.791
-0.164 -9.620 9.689
Nb Ba
8 8
Direct
0.839 0.345 0.373
0.339 0.155 0.627
0.559 0.192 0.492
0.161 0.845 0.127
0.441 0.692 0.008
0.661 0.655 0.873
0.059 0.308 0.508
0.941 0.808 0.992
0.365 0.163 0.917
0.674 0.841 0.241
0.174 0.659 0.759
0.135 0.837 0.417
0.865 0.337 0.083
0.635 0.663 0.583
0.326 0.341 0.259
0.826 0.159 0.741
```

Calculated values
calculated formation energy = 145.4 kJ/mol of formula units
V = 584.6 Å³/cell
total magnetization = 0.00 μB/cell
D(E_F) = 0.910 states/eV per atom
E above lowest polymorph = 0.33 eV/f.u.

***

Entry 3:
Below is a relaxed RbAg2SbF8 crystal, with properties calculated at the PBE level.

The structure in POSCAR format:
```
RbAg2SbF8
1.0
-0.970 0.997 -5.258
-3.563 -2.890 2.922
-4.083 7.168 2.112
F Ag Sb Rb
8 2 1 1
Direct
0.327 0.163 0.865
0.333 0.667 0.476
0.837 0.163 0.865
0.163 0.837 0.135
0.673 0.837 0.135
0.163 0.327 0.135
0.667 0.333 0.524
0.837 0.673 0.865
0.667 0.333 0.276
0.333 0.667 0.724
0.000 0.000 0.000
0.000 0.000 0.500
```

Calculated values
V = 218.2 Å³/cell
E_form (uncorrected) = -178.3 kJ per mole of atoms
total magnetization = 0.00 μB/cell